Entry 1:
Na7Tl4Sn | PBE | optimized geometry

a = 9.4500 Å, b = 5.4540 Å, c = 13.4275 Å
α = 90.00°, β = 90.04°, γ = 90.00°
Closest atoms and distances in Å follow each position.
Space group C2/m (No. 12)
Unique sites:
Na (0.0000, 0.0000, 0.0000)  6 Tl 3.37, 2 Na 3.49
Na (0.0000, 0.0000, 0.2598)  1 Sn 3.22, 3 Tl 3.31, 4 Na 3.44-3.49
Na (0.1667, 0.5000, 0.1564)  4 Tl 3.28-3.30, 4 Na 3.44-3.61
Na (0.1667, 0.5000, 0.4251)  4 Tl 3.22-3.37, 3 Sn 3.31, 1 Na 3.61
Tl (0.1666, 0.5000, 0.6650)  7 Na 3.22-3.37, 1 Tl 3.30
Tl (0.1667, 0.5000, 0.9108)  7 Na 3.28-3.37, 1 Tl 3.30
Sn (0.0000, 0.0000, 0.5000)  8 Na 3.22-3.31

Output
D(E_F) ... 7.37 states/eV per cell
Magnetic moment ... 0.0 μB/f.u.
Energy of formation from the pure elements ... -1.26 eV per formula unit

---

Entry 2:
Na2TlSn2 | PBE | optimized geometry

a = 9.2203 Å, b = 9.2203 Å, c = 3.3924 Å
α = 90.00°, β = 90.00°, γ = 90.00°
Closest atoms and distances in Å follow each position.
Space group P4/mbm (No. 127)
Unique sites:
Na (0.1816, 0.3184, 0.0000)  6 Sn 3.14-3.28, 2 Tl 3.38, 2 Na 3.39
Tl (0.0000, 0.0000, 0.0000)  4 Na 3.38, 2 Tl 3.39
Sn (0.1153, 0.6153, 0.5000)  1 Sn 3.01, 6 Na 3.14-3.28

Output
D(E_F) ... 4.03 states/eV per cell
Magnetic moment ... 0.0 μB/f.u.
Energy of formation from the pure elements ... -0.30 eV per formula unit

---

Entry 3:
Na2Tl4Sn | PBE | optimized geometry

a = 7.6776 Å, b = 6.2001 Å, c = 9.0909 Å
α = 90.00°, β = 94.92°, γ = 90.00°
Closest atoms and distances in Å follow each position.
Space group P2_1/m (No. 11)
Unique sites:
Na (0.1537, 0.2500, 0.4988)  3 Sn 3.32-3.50, 1 Na 3.33, 3 Tl 3.52-3.59
Na (0.2566, 0.2500, 0.1503)  6 Tl 3.06-3.30, 1 Na 3.33
Tl (0.1183, 0.5015, 0.8423)  2 Tl 3.08-3.12, 1 Sn 3.27, 2 Na 3.27-3.30
Tl (0.4179, 0.7500, 0.6309)  1 Sn 3.02, 1 Na 3.06
Tl (0.4725, 0.7500, 0.0983)  1 Sn 3.04, 1 Na 3.20
Sn (0.2123, 0.7500, 0.3321)  4 Tl 3.02-3.27, 1 Na 3.32

Output
D(E_F) ... 5.08 states/eV per cell
Magnetic moment ... 0.0 μB/f.u.
Energy of formation from the pure elements ... -0.16 eV per formula unit

---

Entry 4:
NaTl6Sn | PBE | optimized geometry

a = 7.4946 Å, b = 11.2871 Å, c = 5.6296 Å
α = 90.00°, β = 90.00°, γ = 90.00°
Closest atoms and distances in Å follow each position.
Space group Cmmm (No. 65)
Unique sites:
Na (0.0000, 0.0000, 0.0000)  8 Tl 3.39-3.43, 2 Sn 3.75
Tl (0.0000, 0.2487, 0.5000)  10 Tl 3.36-3.75
Tl (0.2394, 0.5000, 0.5000)  2 Sn 3.34, 5 Tl 3.36-3.59, 2 Na 3.43
Tl (0.2500, 0.2500, 0.0000)  6 Tl 3.38-3.75, 2 Sn 3.39, 2 Na 3.39
Sn (0.0000, 0.5000, 0.0000)  8 Tl 3.34-3.39

Output
D(E_F) ... 7.65 states/eV per cell
Magnetic moment ... 0.0 μB/f.u.
Energy of formation from the pure elements ... -0.18 eV per formula unit

---

Entry 5:
Na7Tl3Sn | PBE | optimized geometry

a = 7.0477 Å, b = 7.0477 Å, c = 8.1420 Å
α = 90.00°, β = 90.00°, γ = 120.00°
Closest atoms and distances in Å follow each position.
Space group P3m1 (No. 156)
Unique sites:
Na (0.0000, 0.0000, 0.0000)  3 Tl 3.27, 6 Na 3.53
Na (0.1676, 0.3353, 0.3836)  2 Tl 3.26, 6 Na 3.50-3.61, 2 Sn 3.53
Na (0.5014, 0.0028, 0.0180)  2 Tl 3.32, 1 Sn 3.49, 8 Na 3.49-3.61
Tl (0.3447, 0.1723, 0.6920)  5 Na 3.26-3.32, 1 Sn 3.29, 4 Tl 3.40-3.64
Sn (0.6667, 0.3333, 0.3676)  3 Tl 3.29, 9 Na 3.49-3.53

Output
D(E_F) ... 4.66 states/eV per cell
Magnetic moment ... 0.0 μB/f.u.
Energy of formation from the pure elements ... -0.50 eV per formula unit

---

Entry 6:
Na3Tl3Sn | PBE | optimized geometry

a = 8.2240 Å, b = 8.2240 Å, c = 8.2240 Å
α = 90.00°, β = 90.00°, γ = 90.00°
Closest atoms and distances in Å follow each position.
Space group Pm-3n (No. 223)
Unique sites:
Na (0.0000, 0.2500, 0.5000)  4 Tl 2.91
Tl (0.0000, 0.5000, 0.2500)  4 Na 2.91
Sn (0.0000, 0.0000, 0.0000)  12 Tl 4.60, 12 Na 4.60

Output
D(E_F) ... 9.98 states/eV per cell
Magnetic moment ... 0.0 μB/f.u.
Energy of formation from the pure elements ... 3.38 eV per formula unit